Entry 1:
Ag4PdAu | PBE | relaxed

```
data_Ag4PdAu
_chemical_formula_sum 'Ag8 Pd2 Au2'
_cell_length_a 5.033
_cell_length_b 5.823
_cell_length_c 8.817
_cell_angle_alpha 90.00
_cell_angle_beta 125.98
_cell_angle_gamma 90.00
_space_group_name_H-M_alt 'P 1'
_space_group_IT_number 1
loop_
_space_group_symop_operation_xyz
'x,y,z'
loop_
_atom_site_label
_atom_site_type_symbol
_atom_site_fract_x
_atom_site_fract_y
_atom_site_fract_z
Ag1 Ag 0.504 0.501 0.335
Au1 Au 0.010 0.750 0.676
Pd1 Pd 0.500 0.500 0.000
Pd2 Pd 0.500 0.000 0.000
Ag2 Ag 0.496 0.001 0.665
Ag3 Ag 0.001 0.750 0.001
Ag4 Ag 0.999 0.250 0.999
Ag5 Ag 0.496 0.499 0.665
Ag6 Ag 0.992 0.750 0.328
Ag7 Ag 0.008 0.250 0.672
Au2 Au 0.990 0.250 0.324
Ag8 Ag 0.504 0.999 0.335
```

Computed properties:
calculated formation energy	-0.047	eV per atom
volume	17.43	A^3/atom

Entry 2:
Ag5Pd12Au2 | PBE | relaxed

```
data_Ag5Pd12Au2
_chemical_formula_sum 'Ag5 Pd12 Au2'
_cell_length_a 4.942
_cell_length_b 8.447
_cell_length_c 8.447
_cell_angle_alpha 67.74
_cell_angle_beta 78.70
_cell_angle_gamma 78.70
_space_group_name_H-M_alt 'P 1'
_space_group_IT_number 1
loop_
_space_group_symop_operation_xyz
'x,y,z'
loop_
_atom_site_label
_atom_site_type_symbol
_atom_site_fract_x
_atom_site_fract_y
_atom_site_fract_z
Pd1 Pd 0.400 0.849 0.353
Pd2 Pd 0.400 0.353 0.849
Pd3 Pd 0.707 0.557 0.557
Ag1 Ag 0.127 0.671 0.671
Pd4 Pd 0.600 0.647 0.151
Au1 Au 0.000 0.249 0.751
Au2 Au 0.000 0.751 0.249
Ag2 Ag 0.566 0.782 0.782
Pd5 Pd 0.202 0.045 0.552
Ag3 Ag 0.434 0.218 0.218
Ag4 Ag 0.500 0.000 0.000
Pd6 Pd 0.293 0.443 0.443
Pd7 Pd 0.600 0.151 0.647
Pd8 Pd 0.020 0.890 0.890
Pd9 Pd 0.202 0.552 0.045
Pd10 Pd 0.980 0.110 0.110
Pd11 Pd 0.798 0.448 0.955
Pd12 Pd 0.798 0.955 0.448
Ag5 Ag 0.873 0.329 0.329
```

Computed properties:
calculated formation energy	0.044	eV per atom
volume	16.69	A^3/atom

Entry 3:
Ag2Pd5Au5 | PBE | relaxed

```
data_Ag2Pd5Au5
_chemical_formula_sum 'Ag2 Pd5 Au5'
_cell_length_a 4.038
_cell_length_b 6.446
_cell_length_c 9.172
_cell_angle_alpha 115.58
_cell_angle_beta 90.00
_cell_angle_gamma 108.25
_space_group_name_H-M_alt 'P 1'
_space_group_IT_number 1
loop_
_space_group_symop_operation_xyz
'x,y,z'
loop_
_atom_site_label
_atom_site_type_symbol
_atom_site_fract_x
_atom_site_fract_y
_atom_site_fract_z
Au1 Au 0.750 0.500 0.754
Ag1 Ag 0.917 0.835 0.248
Pd1 Pd 0.500 0.000 0.500
Au2 Au 0.165 0.330 0.499
Ag2 Ag 0.083 0.165 0.752
Au3 Au 0.000 0.000 0.000
Pd2 Pd 0.584 0.169 0.249
Au4 Au 0.835 0.670 0.501
Au5 Au 0.250 0.500 0.246
Pd3 Pd 0.667 0.333 0.999
Pd4 Pd 0.416 0.831 0.751
Pd5 Pd 0.333 0.667 0.001
```

Computed properties:
calculated formation energy	-0.077	eV per atom
volume	16.83	A^3/atom

Entry 4:
Ag10Pd3Au3 | PBE | relaxed

```
data_Ag10Pd3Au3
_chemical_formula_sum 'Ag10 Pd3 Au3'
_cell_length_a 5.268
_cell_length_b 8.018
_cell_length_c 8.018
_cell_angle_alpha 120.00
_cell_angle_beta 90.00
_cell_angle_gamma 90.00
_space_group_name_H-M_alt 'P 1'
_space_group_IT_number 1
loop_
_space_group_symop_operation_xyz
'x,y,z'
loop_
_atom_site_label
_atom_site_type_symbol
_atom_site_fract_x
_atom_site_fract_y
_atom_site_fract_z
Ag1 Ag 0.000 0.000 0.225
Ag2 Ag 0.248 0.333 0.667
Pd1 Pd 0.000 0.594 0.000
Ag3 Ag 0.500 0.229 0.229
Ag4 Ag 0.752 0.667 0.333
Pd2 Pd 0.000 0.406 0.406
Ag5 Ag 0.000 0.225 0.000
Au1 Au 0.500 0.000 0.402
Ag6 Ag 0.248 0.667 0.333
Ag7 Ag 0.500 0.771 0.000
Au2 Au 0.500 0.598 0.598
Au3 Au 0.500 0.402 0.000
Ag8 Ag 0.500 0.000 0.771
Ag9 Ag 0.000 0.775 0.775
Ag10 Ag 0.752 0.333 0.667
Pd3 Pd 0.000 0.000 0.594
```

Computed properties:
calculated formation energy	0.073	eV per atom
volume	18.33	A^3/atom

Entry 5:
AgPd8Au2 | PBE | relaxed

```
data_AgPd8Au2
_chemical_formula_sum 'Ag1 Pd8 Au2'
_cell_length_a 4.842
_cell_length_b 7.303
_cell_length_c 7.968
_cell_angle_alpha 62.72
_cell_angle_beta 72.49
_cell_angle_gamma 48.97
_space_group_name_H-M_alt 'P 1'
_space_group_IT_number 1
loop_
_space_group_symop_operation_xyz
'x,y,z'
loop_
_atom_site_label
_atom_site_type_symbol
_atom_site_fract_x
_atom_site_fract_y
_atom_site_fract_z
Pd1 Pd 0.772 0.378 0.722
Pd2 Pd 0.228 0.622 0.278
Pd3 Pd 0.500 0.193 0.613
Au1 Au 0.000 0.318 0.363
Pd4 Pd 0.711 0.542 0.000
Au2 Au 0.000 0.682 0.637
Pd5 Pd 0.500 0.807 0.387
Pd6 Pd 0.228 0.900 0.722
Pd7 Pd 0.772 0.100 0.278
Ag1 Ag 0.500 0.000 0.000
Pd8 Pd 0.289 0.458 0.000
```

Computed properties:
calculated formation energy	0.145	eV per atom
distance to the lowest polymorph of the same formula	0	meV/atom
volume	17.17	A^3/atom

Entry 6:
Ag7PdAu12 | PBE | relaxed

```
data_Ag7PdAu12
_chemical_formula_sum 'Ag7 Pd1 Au12'
_cell_length_a 8.106
_cell_length_b 8.106
_cell_length_c 8.106
_cell_angle_alpha 110.95
_cell_angle_beta 110.95
_cell_angle_gamma 110.95
_space_group_name_H-M_alt 'P 1'
_space_group_IT_number 1
loop_
_space_group_symop_operation_xyz
'x,y,z'
loop_
_atom_site_label
_atom_site_type_symbol
_atom_site_fract_x
_atom_site_fract_y
_atom_site_fract_z
Ag1 Ag 0.964 0.327 0.006
Au1 Au 0.353 0.393 0.077
Au2 Au 0.923 0.647 0.607
Au3 Au 0.077 0.353 0.393
Ag2 Ag 0.500 0.500 0.500
Au4 Au 0.607 0.923 0.647
Ag3 Ag 0.036 0.673 0.994
Ag4 Ag 0.994 0.036 0.673
Ag5 Ag 0.006 0.964 0.327
Au5 Au 0.393 0.077 0.353
Au6 Au 0.416 0.169 0.728
Au7 Au 0.647 0.607 0.923
Au8 Au 0.584 0.831 0.272
Au9 Au 0.169 0.728 0.416
Au10 Au 0.831 0.272 0.584
Ag6 Ag 0.327 0.006 0.964
Ag7 Ag 0.673 0.994 0.036
Pd1 Pd 0.000 0.000 0.000
Au11 Au 0.272 0.584 0.831
Au12 Au 0.728 0.416 0.169
```

Computed properties:
calculated formation energy	0.103	eV per atom
volume	19.29	A^3/atom

Entry 7:
Ag8Pd2Au3 | PBE | relaxed

```
data_Ag8Pd2Au3
_chemical_formula_sum 'Ag8 Pd2 Au3'
_cell_length_a 5.340
_cell_length_b 5.340
_cell_length_c 10.571
_cell_angle_alpha 75.37
_cell_angle_beta 75.37
_cell_angle_gamma 60.00
_space_group_name_H-M_alt 'P 1'
_space_group_IT_number 1
loop_
_space_group_symop_operation_xyz
'x,y,z'
loop_
_atom_site_label
_atom_site_type_symbol
_atom_site_fract_x
_atom_site_fract_y
_atom_site_fract_z
Au1 Au 0.817 0.817 0.548
Ag1 Ag 0.726 0.726 0.822
Pd1 Pd 0.360 0.360 0.919
Ag2 Ag 0.229 0.730 0.310
Au2 Au 0.183 0.183 0.452
Ag3 Ag 0.270 0.771 0.690
Ag4 Ag 0.771 0.270 0.690
Au3 Au 0.000 0.000 0.000
Pd2 Pd 0.640 0.640 0.081
Ag5 Ag 0.274 0.274 0.178
Ag6 Ag 0.730 0.229 0.310
Ag7 Ag 0.270 0.270 0.690
Ag8 Ag 0.730 0.730 0.310
```

Computed properties:
calculated formation energy	0.201	eV per atom
distance to the lowest polymorph of the same formula	88	meV/atom
volume	19.21	A^3/atom

Entry 8:
Ag6PdAu8 | PBE | relaxed

```
data_Ag6PdAu8
_chemical_formula_sum 'Ag6 Pd1 Au8'
_cell_length_a 7.264
_cell_length_b 7.264
_cell_length_c 7.264
_cell_angle_alpha 60.30
_cell_angle_beta 60.30
_cell_angle_gamma 60.30
_space_group_name_H-M_alt 'P 1'
_space_group_IT_number 1
loop_
_space_group_symop_operation_xyz
'x,y,z'
loop_
_atom_site_label
_atom_site_type_symbol
_atom_site_fract_x
_atom_site_fract_y
_atom_site_fract_z
Au1 Au 0.186 0.882 0.331
Ag1 Ag 0.729 0.934 0.460
Au2 Au 0.882 0.331 0.186
Ag2 Ag 0.460 0.729 0.934
Au3 Au 0.581 0.581 0.581
Au4 Au 0.669 0.814 0.118
Au5 Au 0.419 0.419 0.419
Ag3 Ag 0.934 0.460 0.729
Ag4 Ag 0.271 0.066 0.540
Au6 Au 0.118 0.669 0.814
Ag5 Ag 0.540 0.271 0.066
Pd1 Pd 0.000 0.000 0.000
Au7 Au 0.814 0.118 0.669
Ag6 Ag 0.066 0.540 0.271
Au8 Au 0.331 0.186 0.882
```

Computed properties:
calculated formation energy	0.001	eV per atom
distance to the lowest polymorph of the same formula	0	meV/atom
volume	18.19	A^3/atom

Entry 9:
Ag5Pd4Au2 | PBE | relaxed

```
data_Ag5Pd4Au2
_chemical_formula_sum 'Ag5 Pd4 Au2'
_cell_length_a 5.242
_cell_length_b 6.810
_cell_length_c 6.780
_cell_angle_alpha 73.33
_cell_angle_beta 67.26
_cell_angle_gamma 67.37
_space_group_name_H-M_alt 'P 1'
_space_group_IT_number 1
loop_
_space_group_symop_operation_xyz
'x,y,z'
loop_
_atom_site_label
_atom_site_type_symbol
_atom_site_fract_x
_atom_site_fract_y
_atom_site_fract_z
Ag1 Ag 0.249 0.182 0.818
Ag2 Ag 0.751 0.182 0.818
Ag3 Ag 0.751 0.818 0.182
Ag4 Ag 0.000 0.500 0.500
Ag5 Ag 0.249 0.818 0.182
Au1 Au 0.753 0.247 0.248
Pd1 Pd 0.245 0.423 0.086
Pd2 Pd 0.755 0.577 0.914
Pd3 Pd 0.245 0.087 0.422
Au2 Au 0.247 0.753 0.752
Pd4 Pd 0.755 0.913 0.578
```

Computed properties:
calculated formation energy	0.096	eV per atom
distance to the lowest polymorph of the same formula	61	meV/atom
volume	18.48	A^3/atom

Entry 10:
Ag15Pd2Au2 | PBE | relaxed

```
data_Ag15Pd2Au2
_chemical_formula_sum 'Ag15 Pd2 Au2'
_cell_length_a 7.245
_cell_length_b 7.245
_cell_length_c 7.245
_cell_angle_alpha 80.97
_cell_angle_beta 80.97
_cell_angle_gamma 80.97
_space_group_name_H-M_alt 'P 1'
_space_group_IT_number 1
loop_
_space_group_symop_operation_xyz
'x,y,z'
loop_
_atom_site_label
_atom_site_type_symbol
_atom_site_fract_x
_atom_site_fract_y
_atom_site_fract_z
Ag1 Ag 0.305 0.695 0.000
Ag2 Ag 0.349 0.349 0.847
Au1 Au 0.710 0.710 0.710
Ag3 Ag 0.305 0.000 0.695
Pd1 Pd 0.906 0.906 0.906
Ag4 Ag 0.349 0.847 0.349
Ag5 Ag 0.153 0.651 0.651
Ag6 Ag 0.651 0.153 0.651
Ag7 Ag 0.695 0.305 0.000
Pd2 Pd 0.094 0.094 0.094
Ag8 Ag 0.695 0.000 0.305
Ag9 Ag 0.500 0.000 0.000
Ag10 Ag 0.000 0.305 0.695
Au2 Au 0.290 0.290 0.290
Ag11 Ag 0.000 0.695 0.305
Ag12 Ag 0.000 0.000 0.500
Ag13 Ag 0.000 0.500 0.000
Ag14 Ag 0.651 0.651 0.153
Ag15 Ag 0.847 0.349 0.349
```

Computed properties:
calculated formation energy	0.166	eV per atom
volume	19.34	A^3/atom

Entry 11:
Ag12PdAu3 | PBE | relaxed

```
data_Ag12PdAu3
_chemical_formula_sum 'Ag12 Pd1 Au3'
_cell_length_a 4.114
_cell_length_b 4.114
_cell_length_c 16.735
_cell_angle_alpha 90.00
_cell_angle_beta 90.00
_cell_angle_gamma 90.00
_space_group_name_H-M_alt 'P 1'
_space_group_IT_number 1
loop_
_space_group_symop_operation_xyz
'x,y,z'
loop_
_atom_site_label
_atom_site_type_symbol
_atom_site_fract_x
_atom_site_fract_y
_atom_site_fract_z
Ag1 Ag 0.500 0.500 0.000
Ag2 Ag 0.500 0.000 0.878
Ag3 Ag 0.000 0.500 0.374
Ag4 Ag 0.500 0.000 0.626
Ag5 Ag 0.000 0.500 0.122
Au1 Au 0.000 0.000 0.752
Ag6 Ag 0.500 0.500 0.248
Pd1 Pd 0.000 0.000 0.000
Au2 Au 0.000 0.000 0.248
Ag7 Ag 0.500 0.500 0.500
Ag8 Ag 0.500 0.000 0.374
Ag9 Ag 0.000 0.500 0.626
Ag10 Ag 0.000 0.500 0.878
Ag11 Ag 0.500 0.500 0.752
Au3 Au 0.000 0.000 0.500
Ag12 Ag 0.500 0.000 0.122
```

Computed properties:
calculated formation energy	-0.028	eV per atom
volume	17.70	A^3/atom

Entry 12:
Ag3PdAu6 | PBE | relaxed

```
data_Ag3PdAu6
_chemical_formula_sum 'Ag6 Pd2 Au12'
_cell_length_a 2.868
_cell_length_b 12.240
_cell_length_c 12.269
_cell_angle_alpha 121.33
_cell_angle_beta 90.00
_cell_angle_gamma 90.00
_space_group_name_H-M_alt 'P 1'
_space_group_IT_number 1
loop_
_space_group_symop_operation_xyz
'x,y,z'
loop_
_atom_site_label
_atom_site_type_symbol
_atom_site_fract_x
_atom_site_fract_y
_atom_site_fract_z
Au1 Au 0.750 0.116 0.508
Ag1 Ag 0.750 0.645 0.425
Au2 Au 0.750 0.581 0.620
Au3 Au 0.250 0.419 0.380
Ag2 Ag 0.250 0.771 0.848
Au4 Au 0.750 0.704 0.236
Ag3 Ag 0.750 0.526 0.822
Au5 Au 0.250 0.715 0.040
Au6 Au 0.750 0.285 0.960
Au7 Au 0.750 0.839 0.685
Au8 Au 0.750 0.957 0.085
Pd1 Pd 0.750 0.074 0.714
Au9 Au 0.250 0.161 0.315
Ag4 Ag 0.250 0.474 0.178
Au10 Au 0.250 0.296 0.764
Au11 Au 0.250 0.884 0.492
Ag5 Ag 0.250 0.355 0.575
Au12 Au 0.250 0.043 0.915
Ag6 Ag 0.750 0.229 0.152
Pd2 Pd 0.250 0.926 0.286
```

Computed properties:
calculated formation energy	0.017	eV per atom
distance to the lowest polymorph of the same formula	7	meV/atom
volume	18.39	A^3/atom

Q: What is the formula in the ninth record?
A: Ag5Pd4Au2

Q: The highest calculated formation energy belongs to which entry?
A: Ag8Pd2Au3